Below is crystalline Tb2Pm5Dy at its relaxed geometry, with properties calculated at the PBE-GGA level.

Values from the calculation:
V, Å³/cell: 1079.3
DOS(E_F), states/eV/f.u.: 13.07
Energy above the most stable polymorph in this dataset, eV per atom: 0.008
Crystal system: monoclinic
Formation energy from the elements, eV/atom: 0.0232

abc: 7.3275 25.3995 5.7989
angles: 90.00 90.27 90.00
Space group C2/c (No. 15)
Unique sites:
Tb1 0.0000 0.0418 0.2500
Tb2 0.0000 0.2071 0.7500
Pm1 0.0000 0.2929 0.2500
Pm2 0.2493 0.1668 0.2497
Pm3 0.2502 0.0818 0.7495
Dy1 0.0000 0.4576 0.7500